[1]
## FeCo2Rh6 (PBE-GGA)

Data for an optimized crystal structure of FeCo2Rh6.

The structure in POSCAR format:
```
FeCo2Rh6
1.0
-0.346 0.916 2.491
-0.826 -7.197 2.533
6.964 3.216 -0.216
Rh Fe Co
6 1 2
Cartesian
0.859 -1.756 1.542 Rh
2.096 0.532 2.195 Rh
5.316 2.018 2.095 Rh
4.934 -1.308 3.265 Rh
0.477 -5.083 2.713 Rh
3.696 -3.596 2.613 Rh
0.000 0.000 0.000 Fe
4.291 -0.052 1.251 Co
1.501 -3.012 3.557 Co
```

Computed properties:
- M_tot (μB per formula unit) = 8.89
- SG = P-3m1

---

[2]
## Fe2CoRh (PBE-GGA)

Data for an optimized crystal structure of Fe2CoRh.

The structure in POSCAR format:
```
Fe2CoRh
1.0
-4.146 -0.113 -2.547
-2.176 -4.323 -0.522
1.586 3.318 3.188
Fe Rh Co
2 1 1
Cartesian
-2.910 0.459 -0.470 Fe
-0.008 -0.006 -0.004 Fe
-3.171 -2.225 -1.539 Rh
-1.809 -1.564 0.598 Co
```

Computed properties:
- relative energy among the computed polymorphs (meV per atom) = 34
- M_tot (μB per formula unit) = 8.39
- SG = Imm2

---

[3]
## FeCo2Rh (PBE-GGA)

Data for an optimized crystal structure of FeCo2Rh.

The structure in POSCAR format:
```
FeCo2Rh
1.0
2.557 -0.029 0.000
-0.987 2.359 0.000
0.000 0.000 8.261
Co Rh Fe
2 1 1
Cartesian
0.000 0.000 0.106 Co
0.000 0.000 4.024 Co
0.785 1.165 6.196 Rh
0.785 1.165 2.065 Fe
```

Computed properties:
- relative energy among the computed polymorphs (meV per atom) = 106
- M_tot (μB per formula unit) = 7.09
- SG = Cmmm

---

[4]
## FeCo4Rh (PBE-GGA)

Data for an optimized crystal structure of FeCo4Rh.

The structure in POSCAR format:
```
FeCo4Rh
1.0
4.665 0.000 0.000
2.332 4.040 0.000
2.332 1.347 3.809
Co Rh Fe
4 1 1
Cartesian
5.830 2.020 1.429 Co
4.665 4.039 1.429 Co
3.499 2.020 1.429 Co
4.665 2.693 3.332 Co
0.000 0.000 0.000 Rh
6.997 4.040 2.857 Fe
```

Computed properties:
- M_tot (μB per formula unit) = 10.48
- SG = F-43m

---

[5]
## Fe2CoRh (PBE-GGA)

Data for an optimized crystal structure of Fe2CoRh.

The structure in POSCAR format:
```
Fe2CoRh
1.0
-1.892 -3.313 -1.435
2.079 -1.433 0.567
-1.135 -1.311 4.523
Fe Rh Co
2 1 1
Cartesian
0.517 -1.424 2.605 Fe
0.899 -2.693 5.031 Fe
-0.710 -2.343 0.555 Rh
-0.238 -3.715 3.100 Co
```

Computed properties:
- relative energy among the computed polymorphs (meV per atom) = 85
- M_tot (μB per formula unit) = 8.32
- SG = P2/m

---

[6]
## FeCo2Rh (PBE-GGA)

Data for an optimized crystal structure of FeCo2Rh.

The structure in POSCAR format:
```
FeCo2Rh
1.0
-4.400 1.978 -0.333
-3.022 -0.744 3.702
4.271 1.826 -1.347
Co Rh Fe
2 1 1
Cartesian
-3.815 0.635 1.731 Co
-7.318 1.217 3.321 Co
-1.231 0.850 2.019 Rh
-1.920 2.211 0.002 Fe
```

Computed properties:
- relative energy among the computed polymorphs (meV per atom) = 20
- M_tot (μB per formula unit) = 7.41
- SG = Immm

---

[7]
## FeCo6Rh2 (PBE-GGA)

Data for an optimized crystal structure of FeCo6Rh2.

The structure in POSCAR format:
```
FeCo6Rh2
1.0
3.887 0.000 -1.275
-0.701 4.173 -2.138
0.059 0.771 6.742
Co Rh Fe
6 2 1
Cartesian
2.771 2.719 1.884 Co
3.106 0.723 2.906 Co
-0.530 3.155 -1.616 Co
0.474 2.225 1.445 Co
-0.171 1.018 -0.521 Co
0.139 4.220 0.422 Co
0.940 4.319 2.866 Rh
2.304 0.624 0.462 Rh
1.593 2.086 -1.706 Fe
```

Computed properties:
- M_tot (μB per formula unit) = 15.10
- SG = Immm

---

[8]
## Fe6CoRh3 (PBE-GGA)

Data for an optimized crystal structure of Fe6CoRh3.

The structure in POSCAR format:
```
Fe6CoRh3
1.0
-3.294 -1.537 -5.401
1.323 -5.876 2.472
-4.767 2.056 3.929
Fe Rh Co
12 6 2
Cartesian
-3.062 -4.749 3.987 Fe
-2.165 -4.631 1.442 Fe
-4.573 -0.725 -0.443 Fe
-2.633 -2.548 2.865 Fe
-3.546 -5.361 -2.552 Fe
-6.866 -0.603 0.564 Fe
-3.191 0.004 3.552 Fe
-3.675 -0.608 -2.987 Fe
0.129 -4.753 0.436 Fe
-4.104 -2.809 -1.865 Fe
-4.723 -1.299 2.054 Fe
-2.014 -4.057 -1.054 Fe
-4.784 -4.092 2.281 Rh
-2.346 -0.306 1.207 Rh
-1.953 -1.265 -1.281 Rh
-4.391 -5.051 -0.207 Rh
-0.722 -2.422 0.819 Rh
-6.016 -2.935 0.181 Rh
0.000 0.000 0.000 Co
-3.369 -2.678 0.500 Co
```

Computed properties:
- M_tot (μB per formula unit) = 20.16
- SG = R-3m

---

[9]
## FeCo2Rh (PBE-GGA)

Data for an optimized crystal structure of FeCo2Rh.

The structure in POSCAR format:
```
FeCo2Rh
1.0
4.409 -0.525 -0.242
-2.359 5.232 0.733
0.258 1.092 2.358
Fe Rh Co
1 1 2
Cartesian
1.025 2.354 0.245 Fe
2.333 0.284 1.058 Rh
0.000 0.000 0.000 Co
-1.050 3.162 1.546 Co
```

Computed properties:
- relative energy among the computed polymorphs (meV per atom) = 16
- M_tot (μB per formula unit) = 6.70
- SG = Cmmm

---

[10]
## Fe2CoRh (PBE-GGA)

Data for an optimized crystal structure of Fe2CoRh.

The structure in POSCAR format:
```
Fe2CoRh
1.0
-3.419 -2.117 -0.998
0.198 -3.060 -2.786
-0.426 -3.938 1.214
Fe Rh Co
2 1 1
Cartesian
-0.912 -2.279 -0.643 Fe
0.000 0.000 0.000 Fe
-2.735 -6.836 -1.928 Rh
-1.823 -4.557 -1.285 Co
```

Computed properties:
- relative energy among the computed polymorphs (meV per atom) = 88
- M_tot (μB per formula unit) = 8.35
- SG = F-43m

---

[11]
## Fe2Co2Rh (PBE-GGA)

Data for an optimized crystal structure of Fe2Co2Rh.

The structure in POSCAR format:
```
Fe2Co2Rh
1.0
-5.404 -3.329 2.378
3.218 -1.027 5.876
-1.004 2.311 0.954
Fe Rh Co
4 2 4
Cartesian
0.379 -0.842 2.439 Fe
-3.014 -2.286 2.366 Fe
-2.565 -3.515 5.815 Fe
0.828 -2.071 5.888 Fe
-1.093 -2.178 4.127 Rh
0.000 0.000 0.000 Rh
-1.869 -0.153 2.208 Co
0.769 -0.033 4.693 Co
-3.959 -2.013 4.514 Co
-1.321 -1.893 7.000 Co
```

Computed properties:
- relative energy among the computed polymorphs (meV per atom) = 78
- M_tot (μB per formula unit) = 9.46
- SG = P4/mbm

---

[12]
## FeCo2Rh9 (PBE-GGA)

Data for an optimized crystal structure of FeCo2Rh9.

The structure in POSCAR format:
```
FeCo2Rh9
1.0
3.795 0.000 0.000
0.000 3.795 0.000
0.000 0.000 11.401
Rh Co Fe
9 2 1
Cartesian
0.000 1.897 1.920 Rh
0.000 1.897 5.700 Rh
1.897 0.000 5.700 Rh
1.897 1.897 7.591 Rh
1.897 0.000 9.480 Rh
1.897 0.000 1.920 Rh
0.000 1.897 9.480 Rh
1.897 1.897 3.809 Rh
1.897 1.897 0.000 Rh
0.000 0.000 7.599 Co
0.000 0.000 3.801 Co
0.000 0.000 0.000 Fe
```

Computed properties:
- M_tot (μB per formula unit) = 11.00
- SG = P4/mmm

---

no.,energy (eV per atom),DFT formation energy (eV per atom)
1,-6.971,0.449
2,-7.858,-0.012
3,-7.378,0.128
4,-7.313,0.060
5,-7.807,0.039
6,-7.464,0.042
7,-6.998,0.313
8,-7.934,0.060
9,-7.469,0.038
10,-7.804,0.042
11,-7.530,0.168
12,-7.386,0.017